Density functional theory data (PBE) for Ac2Sb4PdAu3 after structural relaxation.

size of the total moment = 0.00 μB/cell
density = 10.5 Mg/m³
formation energy without anion corrections = -653 meV per atom

Cell: 4.8224 4.8224 11.1789 Å, 90.00 90.00 90.00°
Closest atoms and distances in Å follow each position.
Fractional positions:
Sb: 0.5000 0.5000 0.0000  4 Au 2.87
Sb: 0.5000 0.0000 0.6227  3 Au 2.67-2.77, 2 Pd 2.77
Sb: 0.0000 0.0000 0.0000  4 Au 2.87
Sb: 0.0000 0.5000 0.3773  3 Au 2.67-2.77, 2 Pd 2.77
Au: 0.0000 0.0000 0.5000  4 Sb 2.77
Au: 0.0000 0.5000 0.1387  5 Sb 2.67-2.87
Au: 0.5000 0.0000 0.8613  5 Sb 2.67-2.87
Ac: 0.5000 0.0000 0.2683  2 Pd 3.54, 6 Au 3.54-3.71, 9 Sb 3.62-3.96
Ac: 0.0000 0.5000 0.7317  2 Pd 3.54, 6 Au 3.54-3.71, 9 Sb 3.62-3.96
Pd: 0.5000 0.5000 0.5000  4 Sb 2.77

Density functional theory data (PBE) for Ac2SbPdAu6 after structural relaxation.

size of the total moment = 0.00 μB/cell
density = 12.3 Mg/m³
formation energy without anion corrections = -504 meV per atom

Cell: 6.5976 7.8346 6.5065 Å, 52.60 74.50 90.28°
Closest atoms and distances in Å follow each position.
Fractional positions:
Au: 0.6801 0.6466 0.4571  1 Pd 2.75, 1 Sb 2.83, 3 Au 2.96-2.99
Au: 0.3490 0.8920 0.7932  1 Pd 2.75, 1 Sb 2.82, 3 Au 2.96-3.07
Au: 0.6510 0.1080 0.2068  1 Pd 2.75, 1 Sb 2.82, 3 Au 2.96-3.07
Au: 0.1061 0.3184 0.0374  1 Pd 2.75, 1 Sb 2.84, 3 Au 2.99-3.00
Au: 0.8939 0.6816 0.9626  1 Pd 2.75, 1 Sb 2.84, 3 Au 2.99-3.00
Au: 0.3199 0.3534 0.5429  1 Pd 2.75, 1 Sb 2.83, 3 Au 2.96-2.99
Pd: 0.0000 0.0000 0.0000  6 Au 2.75, 2 Ac 2.92
Sb: 0.5000 0.5000 0.0000  6 Au 2.82-2.84
Ac: 0.2105 0.7961 0.4135  1 Pd 2.92, 3 Au 3.17
Ac: 0.7895 0.2039 0.5865  1 Pd 2.92, 3 Au 3.17

Density functional theory data (PBE) for Ac3Sb2Pd9Au after structural relaxation.

size of the total moment = 0.00 μB/cell
density = 8.9 Mg/m³
formation energy without anion corrections = -548 meV per atom

Cell: 6.5843 6.5843 10.3276 Å, 90.00 90.00 120.00°
Closest atoms and distances in Å follow each position.
Fractional positions:
Sb: 0.3333 0.6667 0.1756  6 Pd 2.51-2.63
Sb: 0.6667 0.3333 0.8244  6 Pd 2.51-2.63
Au: 0.0000 0.0000 0.5000  6 Pd 2.72
Pd: 0.2713 0.1356 0.7169  1 Sb 2.51, 2 Pd 2.68, 1 Au 2.72
Pd: 0.7287 0.8644 0.2831  1 Sb 2.51, 2 Pd 2.68, 1 Au 2.72
Pd: 0.1356 0.2713 0.2831  1 Sb 2.51, 2 Pd 2.68, 1 Au 2.72
Pd: 0.5000 0.0000 0.0000  2 Sb 2.63
Pd: 0.1356 0.8644 0.2831  1 Sb 2.51, 2 Pd 2.68, 1 Au 2.72
Pd: 0.0000 0.5000 0.0000  2 Sb 2.63
Pd: 0.5000 0.5000 0.0000  2 Sb 2.63
Pd: 0.8644 0.1356 0.7169  1 Sb 2.51, 2 Pd 2.68, 1 Au 2.72
Pd: 0.8644 0.7287 0.7169  1 Sb 2.51, 2 Pd 2.68, 1 Au 2.72
Ac: 0.6667 0.3333 0.2695  9 Pd 3.31-3.37
Ac: 0.3333 0.6667 0.7305  9 Pd 3.31-3.37
Ac: 0.0000 0.0000 0.0000  12 Pd 3.29-3.31

- The highest density belongs to which entry?
  Ac2SbPdAu6

- What is the formation energy without anion corrections in the second record?
  -504 meV per atom